Density functional theory data (PBEsol) for a relaxed structure of CaY2Al.

Cell: 3.6669 5.3766 11.4983 Å, 90.00 90.00 90.00°
Space group Immm (No. 71)
Unique sites:
Ca 0.0000 0.0000 0.0000
Y 0.0000 0.5000 0.2119
Al 0.0000 0.0000 0.5000

=====

Density functional theory data (PBEsol) for a relaxed structure of CaY2Al.

Cell: 3.5800 3.5800 9.0964 Å, 90.00 90.00 90.00°
Space group P4/mmm (No. 123)
Unique sites:
Ca 0.0000 0.0000 0.0000
Y 0.5000 0.5000 0.3073
Al 0.0000 0.0000 0.5000

=====

Density functional theory data (PBEsol) for a relaxed structure of CaYAl2.

Cell: 9.6434 3.3886 6.4539 Å, 90.00 99.54 90.00°
Space group C2/m (No. 12)
Unique sites:
Ca 0.0000 0.0000 0.0000
Y 0.0000 0.5000 0.5000
Al 0.2489 0.0000 0.7189

=====

Density functional theory data (PBEsol) for a relaxed structure of CaY2Al.

Cell: 4.8338 4.8338 4.6380 Å, 90.00 90.00 90.00°
Space group P4/mmm (No. 123)
Unique sites:
Ca 0.0000 0.0000 0.0000
Y 0.0000 0.5000 0.5000
Al 0.5000 0.5000 0.0000

=====

Density functional theory data (PBEsol) for a relaxed structure of CaYAl2.

Cell: 11.7139 3.5888 5.0128 Å, 90.00 115.21 90.00°
Space group Cm (No. 8)
Unique sites:
Ca 0.0000 0.0000 0.0000
Y 0.2188 0.0000 0.7183
Al 0.2670 0.5000 0.2660
Al 0.4531 0.0000 0.4538

=====

Density functional theory data (PBEsol) for a relaxed structure of Ca4YAl.

Cell: 9.3062 9.3062 9.3062 Å, 90.00 90.00 90.00°
Space group F-43m (No. 216)
Unique sites:
Ca 0.1247 0.1247 0.1247
Y 0.0000 0.0000 0.5000
Al 0.2500 0.2500 0.7500

=====

What are the volume values for these records? In order: 226.7; 116.6; 208.0; 108.4; 190.7; 806.0 Å³ per cell.
What are the final energy values for these records? In order: -40.84; -20.50; -34.61; -20.31; -36.12; -67.78 eV per cell.